No. 1
A plane-wave DFT calculation with PBE-GGA was carried out for an optimized crystal structure of LiMnHg.

Calculated values
energy of formation from the pure elements: 0.133 eV per atom
space group: P3m1
uncorrected energy: -3.662 eV/atom
excess energy over the best structure of this formula in the dataset: 12 meV per atom

a = 4.5254 Å, b = 4.5254 Å, c = 2.8958 Å
α = 90.00°, β = 90.00°, γ = 120.00°
Fractional coordinates of all 3 atoms:
Hg 0.0000 0.0000 0.0702
Mn 0.6667 0.3333 0.6421
Li 0.3333 0.6667 0.2877

***

No. 2
A plane-wave DFT calculation with PBE-GGA was carried out for an optimized crystal structure of LiMn2Hg.

Calculated values
energy of formation from the pure elements: 0.314 eV per atom
space group: Cm
uncorrected energy: -4.825 eV/atom

a = 4.8977 Å, b = 4.8977 Å, c = 4.8775 Å
α = 79.14°, β = 79.14°, γ = 34.84°
Fractional coordinates of all 4 atoms:
Mn 0.9924 0.9924 0.0151
Mn 0.2555 0.2555 0.2266
Hg 0.5012 0.5012 0.5131
Li 0.7509 0.7509 0.7452

***

No. 3
A plane-wave DFT calculation with PBE-GGA was carried out for an optimized crystal structure of LiMn2Hg.

Calculated values
energy of formation from the pure elements: 0.375 eV per atom
space group: P4/mmm
uncorrected energy: -4.763 eV/atom

a = 3.2794 Å, b = 3.2794 Å, c = 6.1739 Å
α = 90.00°, β = 90.00°, γ = 90.00°
Fractional coordinates of all 4 atoms:
Mn 0.0000 0.0000 0.9764
Mn 0.0000 0.0000 0.5236
Li 0.5000 0.5000 0.7500
Hg 0.5000 0.5000 0.2500

***

No. 4
A plane-wave DFT calculation with PBE-GGA was carried out for an optimized crystal structure of LiMnHg.

Calculated values
energy of formation from the pure elements: 0.336 eV per atom
space group: F-43m
uncorrected energy: -3.459 eV/atom
excess energy over the best structure of this formula in the dataset: 215 meV per atom

a = 4.5008 Å, b = 4.5008 Å, c = 4.5008 Å
α = 60.00°, β = 60.00°, γ = 60.00°
Fractional coordinates of all 3 atoms:
Mn 0.5000 0.5000 0.5000
Hg 0.7500 0.7500 0.7500
Li 0.0000 0.0000 0.0000

***

No. 5
A plane-wave DFT calculation with PBE-GGA was carried out for an optimized crystal structure of LiMn2Hg.

Calculated values
energy of formation from the pure elements: 0.456 eV per atom
space group: R-3m
uncorrected energy: -4.683 eV/atom

a = 9.6006 Å, b = 9.6006 Å, c = 9.6006 Å
α = 17.46°, β = 17.46°, γ = 17.46°
Fractional coordinates of all 4 atoms:
Hg 0.2500 0.2500 0.2500
Li 0.7500 0.7500 0.7500
Mn 0.0026 0.0026 0.0026
Mn 0.4974 0.4974 0.4974

***

No. 6
A plane-wave DFT calculation with PBE-GGA was carried out for an optimized crystal structure of LiMn2Hg.

Calculated values
energy of formation from the pure elements: 0.638 eV per atom
space group: I-42d
uncorrected energy: -4.500 eV/atom

a = 3.4609 Å, b = 3.4609 Å, c = 9.8849 Å
α = 79.92°, β = 79.92°, γ = 90.00°
Fractional coordinates of all 8 atoms:
Hg 0.0000 0.0000 0.0000
Hg 0.7500 0.2500 0.5000
Li 0.2500 0.7500 0.5000
Li 0.5000 0.5000 0.0000
Mn 0.5605 0.1250 0.2500
Mn 0.8750 0.8105 0.7500
Mn 0.1895 0.6250 0.2500
Mn 0.3750 0.4395 0.7500

***

No. 7
A plane-wave DFT calculation with PBE-GGA was carried out for an optimized crystal structure of LiMn2Hg.

Calculated values
energy of formation from the pure elements: 0.147 eV per atom
space group: Pmm2
uncorrected energy: -4.992 eV/atom

a = 3.2064 Å, b = 3.1144 Å, c = 7.0097 Å
α = 63.63°, β = 90.00°, γ = 90.00°
Fractional coordinates of all 4 atoms:
Mn 0.0000 0.9693 0.0309
Mn 0.5000 0.2965 0.2037
Hg 0.0000 0.4910 0.5088
Li 0.5000 0.7432 0.7566

***

No. 8
A plane-wave DFT calculation with PBE-GGA was carried out for an optimized crystal structure of LiMn2Hg.

Calculated values
energy of formation from the pure elements: 0.257 eV per atom
space group: P4/mmm
uncorrected energy: -4.882 eV/atom

a = 4.1591 Å, b = 3.9229 Å, c = 3.9229 Å
α = 90.00°, β = 90.00°, γ = 90.00°
Fractional coordinates of all 4 atoms:
Mn 0.0000 0.0000 0.0000
Mn 0.0000 0.5000 0.5000
Li 0.5000 0.0000 0.5000
Hg 0.5000 0.5000 0.0000

***

No. 9
A plane-wave DFT calculation with PBE-GGA was carried out for an optimized crystal structure of LiMnHg3.

Calculated values
energy of formation from the pure elements: 0.417 eV per atom
space group: Pm-3m
uncorrected energy: -1.981 eV/atom
excess energy over the best structure of this formula in the dataset: 133 meV per atom

a = 4.8877 Å, b = 4.8877 Å, c = 4.8877 Å
α = 90.00°, β = 90.00°, γ = 90.00°
Fractional coordinates of all 5 atoms:
Mn 0.5000 0.5000 0.5000
Li 0.0000 0.0000 0.0000
Hg 0.0000 0.0000 0.5000
Hg 0.5000 0.0000 0.0000
Hg 0.0000 0.5000 0.0000

***

No. 10
A plane-wave DFT calculation with PBE-GGA was carried out for an optimized crystal structure of LiMn3Hg.

Calculated values
energy of formation from the pure elements: 0.962 eV per atom
space group: Pm-3m
uncorrected energy: -4.983 eV/atom
excess energy over the best structure of this formula in the dataset: 0 meV per atom

a = 4.3277 Å, b = 4.3277 Å, c = 4.3277 Å
α = 90.00°, β = 90.00°, γ = 90.00°
Fractional coordinates of all 5 atoms:
Mn 0.5000 0.0000 0.0000
Mn 0.0000 0.5000 0.0000
Mn 0.0000 0.0000 0.5000
Li 0.0000 0.0000 0.0000
Hg 0.5000 0.5000 0.5000

***

No. 11
A plane-wave DFT calculation with PBE-GGA was carried out for an optimized crystal structure of LiMnHg3.

Calculated values
energy of formation from the pure elements: 0.284 eV per atom
space group: Pm-3m
uncorrected energy: -2.114 eV/atom
excess energy over the best structure of this formula in the dataset: 0 meV per atom

a = 5.2017 Å, b = 5.2017 Å, c = 5.2017 Å
α = 90.00°, β = 90.00°, γ = 90.00°
Fractional coordinates of all 5 atoms:
Mn 0.0000 0.0000 0.0000
Hg 0.0000 0.5000 0.0000
Hg 0.5000 0.0000 0.0000
Hg 0.0000 0.0000 0.5000
Li 0.5000 0.5000 0.5000

***

No. 12
A plane-wave DFT calculation with PBE-GGA was carried out for an optimized crystal structure of LiMn2Hg.

Calculated values
energy of formation from the pure elements: 0.353 eV per atom
space group: Cmmm
uncorrected energy: -4.786 eV/atom

a = 4.8609 Å, b = 4.8609 Å, c = 3.0002 Å
α = 90.00°, β = 90.00°, γ = 109.82°
Fractional coordinates of all 4 atoms:
Li 0.0000 0.5000 0.5000
Mn 0.5000 0.5000 0.0000
Mn 0.0000 0.0000 0.0000
Hg 0.5000 0.0000 0.5000